# PBE RbTiIn, relaxed
data_RbTiIn
_chemical_formula_sum 'Rb2 Ti2 In2'
_symmetry_space_group_name_H-M 'P 1'
_symmetry_Int_Tables_number 1
_cell_length_a 3.339
_cell_length_b 3.857
_cell_length_c 14.560
_cell_angle_alpha 89.10
_cell_angle_beta 88.23
_cell_angle_gamma 90.00
loop_
_symmetry_equiv_pos_as_xyz
'x,y,z'
loop_
_atom_site_label
_atom_site_type_symbol
_atom_site_fract_x
_atom_site_fract_y
_atom_site_fract_z
_atom_site_occupancy
Rb1 Rb 0.203 0.229 0.345 1
Rb2 Rb 0.797 0.771 0.655 1
Ti1 Ti 0.243 0.247 0.049 1
Ti2 Ti 0.757 0.753 0.951 1
In1 In 0.271 0.260 0.845 1
In2 In 0.729 0.740 0.155 1
# uncorrected energy: -3.77 eV per atom
# density of states at the Fermi level: 6.82 states/eV per cell
# E above lowest polymorph: 0.000 eV per formula unit
# ΔH_f (0 K): 0.101 eV/atom
# size of the total moment: 0.000 μB/cell
# space group: P-1

# PBE RbTiIn, relaxed
data_RbTiIn
_chemical_formula_sum 'Rb2 Ti2 In2'
_symmetry_space_group_name_H-M 'P 1'
_symmetry_Int_Tables_number 1
_cell_length_a 6.147
_cell_length_b 6.147
_cell_length_c 11.196
_cell_angle_alpha 90.00
_cell_angle_beta 90.00
_cell_angle_gamma 120.00
loop_
_symmetry_equiv_pos_as_xyz
'x,y,z'
loop_
_atom_site_label
_atom_site_type_symbol
_atom_site_fract_x
_atom_site_fract_y
_atom_site_fract_z
_atom_site_occupancy
Rb1 Rb 0.333 0.667 0.250 1
Rb2 Rb 0.667 0.333 0.750 1
Ti1 Ti 0.000 0.000 0.000 1
Ti2 Ti 0.000 0.000 0.500 1
In1 In 0.000 0.000 0.250 1
In2 In 0.000 0.000 0.750 1
# uncorrected energy: -2.61 eV per atom
# density of states at the Fermi level: 15.94 states/eV per cell
# E above lowest polymorph: 3.470 eV per formula unit
# ΔH_f (0 K): 1.258 eV/atom
# size of the total moment: 5.626 μB/cell
# space group: P6_3/mmc

# PBE Rb2TiIn, relaxed
data_Rb2TiIn
_chemical_formula_sum 'Rb4 Ti2 In2'
_symmetry_space_group_name_H-M 'P 1'
_symmetry_Int_Tables_number 1
_cell_length_a 9.950
_cell_length_b 9.950
_cell_length_c 9.950
_cell_angle_alpha 94.38
_cell_angle_beta 94.38
_cell_angle_gamma 147.92
loop_
_symmetry_equiv_pos_as_xyz
'x,y,z'
loop_
_atom_site_label
_atom_site_type_symbol
_atom_site_fract_x
_atom_site_fract_y
_atom_site_fract_z
_atom_site_occupancy
Rb1 Rb 0.375 0.034 0.159 1
Rb2 Rb 0.784 0.625 0.659 1
Rb3 Rb 0.875 0.216 0.841 1
Rb4 Rb 0.966 0.125 0.341 1
Ti1 Ti 0.250 0.750 0.500 1
Ti2 Ti 0.500 0.500 0.000 1
In1 In 0.000 0.000 0.000 1
In2 In 0.750 0.250 0.500 1
# uncorrected energy: -2.41 eV per atom
# density of states at the Fermi level: 8.81 states/eV per cell
# ΔH_f (0 K): 0.732 eV/atom
# size of the total moment: 4.915 μB/cell
# space group: I-42d

# PBE RbTiIn, relaxed
data_RbTiIn
_chemical_formula_sum 'Rb2 Ti2 In2'
_symmetry_space_group_name_H-M 'P 1'
_symmetry_Int_Tables_number 1
_cell_length_a 4.617
_cell_length_b 4.634
_cell_length_c 12.685
_cell_angle_alpha 91.53
_cell_angle_beta 98.58
_cell_angle_gamma 119.81
loop_
_symmetry_equiv_pos_as_xyz
'x,y,z'
loop_
_atom_site_label
_atom_site_type_symbol
_atom_site_fract_x
_atom_site_fract_y
_atom_site_fract_z
_atom_site_occupancy
Rb1 Rb 0.000 0.000 0.000 1
Rb2 Rb 0.382 0.237 0.645 1
Ti1 Ti 0.171 0.081 0.322 1
Ti2 Ti 0.872 0.479 0.322 1
In1 In 0.454 0.739 0.206 1
In2 In 0.592 0.824 0.439 1
# uncorrected energy: -3.71 eV per atom
# density of states at the Fermi level: 3.77 states/eV per cell
# E above lowest polymorph: 0.171 eV per formula unit
# ΔH_f (0 K): 0.158 eV/atom
# size of the total moment: 0.000 μB/cell
# space group: P1